# RbNdDy

A relaxed structure of RbNdDy (GGA-PBE, the Open Quantum Materials Database).

Properties
**Relative energy among the computed polymorphs**: 0 meV per atom

Cell: 6.0168 6.0168 6.0168 Å, 60.00 60.00 60.00°
Last column: magnetic moment on the atom in μB.
Atoms (fractional coordinates):
1 Dy 0.0000 0.0000 0.0000  0.36
2 Nd 0.2500 0.2500 0.2500  0.28
3 Rb 0.7500 0.7500 0.7500  0.02

# AcReTc

A relaxed structure of AcReTc (GGA-PBE, the Open Quantum Materials Database).

Properties
**Formation energy**: 0.962 eV per atom
**Relative energy among the computed polymorphs**: 0 meV per atom

Cell: 4.6451 4.6451 4.6451 Å, 60.00 60.00 60.00°
Atoms (fractional coordinates):
1 Ac 0.2500 0.2500 0.2500
2 Re 0.0000 0.0000 0.0000
3 Tc 0.7500 0.7500 0.7500

# ZrHg2

A relaxed structure of ZrHg2 (GGA-PBE, the Open Quantum Materials Database).

Properties
**Formation energy**: 0.204 eV per atom

Cell: 4.7540 4.7540 4.7540 Å, 60.00 60.00 60.00°
Atoms (fractional coordinates):
1 Hg 0.2500 0.2500 0.2500
2 Hg 0.7500 0.7500 0.7500
3 Zr 0.0000 0.0000 0.0000

# PmReIr

A relaxed structure of PmReIr (GGA-PBE, the Open Quantum Materials Database).

Properties
**Formation energy**: 1.451 eV per atom
**Relative energy among the computed polymorphs**: 914 meV per atom

Cell: 4.6036 4.6036 4.6036 Å, 60.00 60.00 60.00°
Atoms (fractional coordinates):
1 Ir 0.2500 0.2500 0.2500
2 Pm 0.0000 0.0000 0.0000
3 Re 0.7500 0.7500 0.7500

# TbYS2F2

A relaxed structure of TbYS2F2 (GGA-PBE, the Open Quantum Materials Database).

Cell: 3.7593 3.7593 6.8062 Å, 90.00 90.00 90.00°
Atoms (fractional coordinates):
1 F 0.5000 0.0000 0.0000
2 F 0.0000 0.5000 0.0000
3 S 0.0000 0.0000 0.3567
4 S 0.5000 0.5000 0.6431
5 Tb 0.0000 0.0000 0.7716
6 Y 0.5000 0.5000 0.2288

# Pr3Sn3PdPt2

A relaxed structure of Pr3Sn3PdPt2 (GGA-PBE, the Open Quantum Materials Database).

Cell: 4.1617 7.6930 7.6930 Å, 120.00 90.00 90.00°
Atoms (fractional coordinates):
1 Pd 0.0000 0.9990 0.9990
2 Pr 0.0000 0.4127 0.0001
3 Pr 0.0000 0.0001 0.4127
4 Pr 0.0000 0.5878 0.5878
5 Pt 0.5000 0.6661 0.3349
6 Pt 0.5000 0.3349 0.6661
7 Sn 0.5000 0.2508 0.2508
8 Sn 0.5000 0.9992 0.7494
9 Sn 0.5000 0.7494 0.9992

# Tb3BiSe2

A relaxed structure of Tb3BiSe2 (GGA-PBE, the Open Quantum Materials Database).

Cell: 4.2259 4.2259 10.3193 Å, 90.00 90.00 120.00°
Atoms (fractional coordinates):
1 Bi 0.0000 0.0000 0.0000
2 Se 0.3333 0.6667 0.3428
3 Se 0.6667 0.3333 0.6572
4 Tb 0.6667 0.3333 0.1896
5 Tb 0.0000 0.0000 0.5000
6 Tb 0.3333 0.6667 0.8104

# ErCoCuGe2

A relaxed structure of ErCoCuGe2 (GGA-PBE, the Open Quantum Materials Database).

Cell: 5.7836 5.7836 5.7836 Å, 139.41 139.41 58.76°
Last column: magnetic moment on the atom in μB.
Atoms (fractional coordinates):
1 Co 0.0000 0.0000 0.0000  0.59
2 Cu 0.5000 0.5000 0.0000  0.03
3 Er 0.2500 0.7500 0.5000  0.03
4 Ge 0.6261 0.1261 0.5000  0.00
5 Ge 0.8739 0.3739 0.5000  0.00

Quick rundown of magnetic moment, same order as above: 1.32, 0.00, 0.00, 2.62, 0.00, 0.00, 0.00, 0.68 μB per formula unit
Quick rundown of final energy, same order as above: -2.243, -8.002, -2.843, -7.223, -6.847, -5.848, -5.614, -5.410 eV per atom